--- 1 ---
# Y2MnAsOs (PBE, relaxed)
# Density ... 6.37 g cm⁻³
# DOS(E_F) ... 0.99 states/eV per atom
data_Y2MnAsOs
_chemical_formula_sum 'Y2 Mn1 As1 Os1'
_cell_length_a 5.3733
_cell_length_b 5.3733
_cell_length_c 4.4935
_cell_angle_alpha 90.00
_cell_angle_beta 90.00
_cell_angle_gamma 90.00
_space_group_name_H-M_alt 'P 4/m m m'
_space_group_IT_number 123
_space_group_name_Hall '-P 4 2'
loop_
_atom_site_label
_atom_site_fract_x
_atom_site_fract_y
_atom_site_fract_z
_atom_site_occupancy
Y1 0.0000 0.5000 0.0000 1
Mn1 0.0000 0.0000 0.5000 1
As1 0.5000 0.5000 0.0000 1
Os1 0.5000 0.5000 0.5000 1

---

--- 2 ---
# Y2MnAsOs (PBE, relaxed)
# Density ... 7.16 g cm⁻³
# DOS(E_F) ... 1.02 states/eV per atom
data_Y2MnAsOs
_chemical_formula_sum 'Y2 Mn1 As1 Os1'
_cell_length_a 5.1617
_cell_length_b 5.1617
_cell_length_c 4.3356
_cell_angle_alpha 90.00
_cell_angle_beta 90.00
_cell_angle_gamma 90.00
_space_group_name_H-M_alt 'P 4/m m m'
_space_group_IT_number 123
_space_group_name_Hall '-P 4 2'
loop_
_atom_site_label
_atom_site_fract_x
_atom_site_fract_y
_atom_site_fract_z
_atom_site_occupancy
Y1 0.0000 0.5000 0.0000 1
Mn1 0.0000 0.0000 0.0000 1
As1 0.5000 0.5000 0.5000 1
Os1 0.0000 0.0000 0.5000 1

---

Stability, highest: 2

---

--- 1 ---
# MnAsP (PBE, relaxed)
# Density ... 5.02 g cm⁻³
# DOS(E_F) ... 0.54 states/eV per atom
data_MnAsP
_chemical_formula_sum 'Mn4 As4 P4'
_cell_length_a 3.5154
_cell_length_b 4.2165
_cell_length_c 14.3480
_cell_angle_alpha 90.00
_cell_angle_beta 90.00
_cell_angle_gamma 90.00
_space_group_name_H-M_alt 'F m m 2'
_space_group_IT_number 42
_space_group_name_Hall 'F 2 -2'
loop_
_atom_site_label
_atom_site_fract_x
_atom_site_fract_y
_atom_site_fract_z
_atom_site_occupancy
Mn1 0.0000 0.0000 0.0000 1
As1 0.0000 0.0000 0.6325 1
P1 0.0000 0.0000 0.3892 1

---

--- 2 ---
# MnAsP (PBE, relaxed)
# Density ... 5.17 g cm⁻³
# DOS(E_F) ... 0.36 states/eV per atom
data_MnAsP
_chemical_formula_sum 'Mn4 As4 P4'
_cell_length_a 5.9119
_cell_length_b 5.9119
_cell_length_c 5.9119
_cell_angle_alpha 90.00
_cell_angle_beta 90.00
_cell_angle_gamma 90.00
_space_group_name_H-M_alt 'F -4 3 m'
_space_group_IT_number 216
_space_group_name_Hall 'F -4 2 3'
loop_
_atom_site_label
_atom_site_fract_x
_atom_site_fract_y
_atom_site_fract_z
_atom_site_occupancy
Mn1 0.0000 0.0000 0.0000 1
As1 0.0000 0.0000 0.5000 1
P1 0.2500 0.2500 0.7500 1

---

Stability, highest: 1

---

--- 1 ---
# MnAsP (PBE, relaxed)
# Density ... 6.06 g cm⁻³
# DOS(E_F) ... 0.42 states/eV per atom
data_MnAsP
_chemical_formula_sum 'Mn2 As2 P2'
_cell_length_a 2.8175
_cell_length_b 5.2507
_cell_length_c 5.9570
_cell_angle_alpha 90.00
_cell_angle_beta 90.00
_cell_angle_gamma 90.00
_space_group_name_H-M_alt 'P m n 21'
_space_group_IT_number 31
_space_group_name_Hall 'P 2ac -2'
loop_
_atom_site_label
_atom_site_fract_x
_atom_site_fract_y
_atom_site_fract_z
_atom_site_occupancy
Mn1 0.0000 0.2327 0.0000 1
As1 0.0000 0.4231 0.3741 1
P1 0.0000 0.0679 0.6386 1

---

--- 2 ---
# MnAsP (PBE, relaxed)
# Density ... 5.47 g cm⁻³
# DOS(E_F) ... 0.60 states/eV per atom
data_MnAsP
_chemical_formula_sum 'Mn4 As4 P4'
_cell_length_a 5.8007
_cell_length_b 5.8007
_cell_length_c 5.8007
_cell_angle_alpha 90.00
_cell_angle_beta 90.00
_cell_angle_gamma 90.00
_space_group_name_H-M_alt 'F -4 3 m'
_space_group_IT_number 216
_space_group_name_Hall 'F -4 2 3'
loop_
_atom_site_label
_atom_site_fract_x
_atom_site_fract_y
_atom_site_fract_z
_atom_site_occupancy
Mn1 0.0000 0.0000 0.0000 1
As1 0.2500 0.2500 0.2500 1
P1 0.2500 0.2500 0.7500 1

---

Stability, highest: 1

---

--- 1 ---
# MnAsP (PBE, relaxed)
# Density ... 5.60 g cm⁻³
# DOS(E_F) ... 0.55 states/eV per atom
data_MnAsP
_chemical_formula_sum 'Mn1 As1 P1'
_cell_length_a 3.9919
_cell_length_b 3.9919
_cell_length_c 3.4535
_cell_angle_alpha 90.00
_cell_angle_beta 90.00
_cell_angle_gamma 120.00
_space_group_name_H-M_alt 'P 3 m 1'
_space_group_IT_number 156
_space_group_name_Hall 'P 3 -2"'
loop_
_atom_site_label
_atom_site_fract_x
_atom_site_fract_y
_atom_site_fract_z
_atom_site_occupancy
Mn1 0.0000 0.0000 0.0000 1
As1 0.3333 0.6667 0.5021 1
P1 0.6667 0.3333 0.0010 1

---

--- 2 ---
# MnAsP (PBE, relaxed)
# Density ... 6.18 g cm⁻³
# DOS(E_F) ... 0.77 states/eV per atom
data_MnAsP
_chemical_formula_sum 'Mn1 As1 P1'
_cell_length_a 3.0858
_cell_length_b 3.0858
_cell_length_c 5.2437
_cell_angle_alpha 90.00
_cell_angle_beta 90.00
_cell_angle_gamma 120.00
_space_group_name_H-M_alt 'P 3 m 1'
_space_group_IT_number 156
_space_group_name_Hall 'P 3 -2"'
loop_
_atom_site_label
_atom_site_fract_x
_atom_site_fract_y
_atom_site_fract_z
_atom_site_occupancy
Mn1 0.0000 0.0000 0.0000 1
As1 0.3333 0.6667 0.6771 1
P1 0.6667 0.3333 0.2720 1

---

--- 3 ---
# MnAsP (PBE, relaxed)
# Density ... 5.79 g cm⁻³
# DOS(E_F) ... 0.76 states/eV per atom
data_MnAsP
_chemical_formula_sum 'Mn2 As2 P2'
_cell_length_a 2.8264
_cell_length_b 2.8264
_cell_length_c 11.5460
_cell_angle_alpha 90.00
_cell_angle_beta 90.00
_cell_angle_gamma 90.00
_space_group_name_H-M_alt 'I 4 m m'
_space_group_IT_number 107
_space_group_name_Hall 'I 4 -2'
loop_
_atom_site_label
_atom_site_fract_x
_atom_site_fract_y
_atom_site_fract_z
_atom_site_occupancy
Mn1 0.0000 0.0000 0.0000 1
As1 0.0000 0.0000 0.3602 1
P1 0.0000 0.0000 0.6065 1

---

Stability, highest: 2